A relaxed LaSm15Er4 crystal. Source: Alexandria, functional GGA-PBE.

```
LaSm15Er4
1.0
-1.6485 -4.7262 1.0219
4.2215 -0.8802 2.7391
-11.7829 8.6361 20.9346
Er Sm La
4 15 1
direct
0.0000 0.0000 0.4009
0.0000 0.0000 0.5991
0.0000 0.0000 0.2021
0.0000 0.0000 0.7979
0.5000 0.0000 0.1030
0.5000 0.5000 0.7967
0.5000 0.5000 0.5991
0.5000 0.0000 0.8970
0.0000 0.5000 0.5000
0.5000 0.0000 0.6984
0.5000 0.5000 0.0000
0.0000 0.5000 0.6984
0.0000 0.5000 0.1030
0.5000 0.0000 0.3016
0.0000 0.5000 0.3016
0.5000 0.5000 0.2033
0.5000 0.5000 0.4009
0.0000 0.5000 0.8970
0.5000 0.0000 0.5000
0.0000 0.0000 0.0000
```

Results
Calculated density ... 7.63 Mg/m³
E_tot ... -4.68 eV/atom
SG ... P4/mmm (123)
Spin magnetization ... 0.00 μB per formula unit